La2CdSe (PBE, optimized geometry); total DFT energy (no corrections) = -4.47 eV per atom; formation energy from raw total energies = -904 meV/atom; symmetry = Imm2, No. 44
1.0
-0.579 5.097 -7.022
-1.440 -0.154 -8.575
-1.692 -2.077 8.273
Se Cd La
1 1 2
Cartesian
-1.099 2.689 -8.487
-2.173 0.369 -4.835
-1.951 4.774 -15.067
-1.518 2.447 -2.330

***

Cs2In4Rh (PBE, optimized geometry); total DFT energy (no corrections) = -2.97 eV per atom; symmetry = I4/mmm, No. 139
1.0
-1.208 5.077 -0.445
-0.022 -0.462 -5.217
-10.550 -0.036 -2.582
In Rh Cs
4 1 2
Cartesian
-0.604 2.538 -0.222
-0.011 -0.231 -2.609
-8.007 0.564 -2.646
-3.772 4.015 -5.598
0.000 0.000 0.000
-3.957 1.519 -2.747
-7.822 3.060 -5.497

***

LaMgTi2Te (PBE, optimized geometry); total DFT energy (no corrections) = -4.70 eV per atom; formation energy from raw total energies = 395 meV/atom; symmetry = P4/mmm, No. 123
1.0
5.111 0.000 0.000
0.000 5.914 0.000
0.000 0.000 5.111
Ti La Te Mg
2 1 1 1
Cartesian
0.000 0.000 2.555
2.555 0.000 0.000
0.000 2.957 0.000
0.000 0.000 0.000
2.555 2.957 2.555

***

Zr2Sc2Zn (PBE, optimized geometry); total DFT energy (no corrections) = -6.06 eV per atom; symmetry = P4/mbm, No. 127
1.0
-2.659 -2.412 -6.278
3.970 -6.013 0.629
-3.313 -1.962 2.157
Zr Zn Sc
4 2 4
Cartesian
2.453 -6.016 -1.704
1.038 -2.492 -0.672
0.272 -5.932 -4.978
-1.142 -2.409 -3.946
0.000 0.000 0.000
0.655 -4.212 -2.825
-1.955 -2.747 -0.987
-2.534 -5.089 -4.007
0.532 -5.297 0.514
-0.047 -7.640 -2.506

***

Cr2Ir (PBE, optimized geometry); total DFT energy (no corrections) = -9.47 eV per atom; symmetry = P6_3/mmc, No. 194
1.0
4.726 0.000 0.000
-2.363 4.093 0.000
0.000 0.000 15.470
Cr Ir
16 8
Cartesian
-1.206 3.425 11.602
2.363 1.364 1.955
2.363 0.000 7.735
-1.182 2.047 7.735
1.182 2.047 0.000
2.363 0.000 0.000
0.000 1.336 11.602
2.363 2.757 3.867
-1.182 2.047 0.000
0.000 2.729 9.689
0.000 2.729 13.515
1.182 2.047 7.735
1.206 3.425 11.602
2.363 1.364 5.780
3.570 0.668 3.867
1.157 0.668 3.867
0.000 0.000 14.035
0.000 0.000 6.300
0.000 0.000 9.170
0.000 2.729 5.317
2.363 1.364 10.152
0.000 0.000 1.435
0.000 2.729 2.417
2.363 1.364 13.052

***

CsBeIr3 (PBE, optimized geometry); total DFT energy (no corrections) = -2.81 eV per atom; symmetry = Pm-3m, No. 221
1.0
-4.239 1.996 1.668
-2.332 -4.328 -0.750
1.151 -1.421 4.625
Ir Be Cs
3 1 1
Cartesian
-2.120 0.998 0.834
0.575 -0.710 2.313
-1.166 -2.164 -0.375
-2.710 -1.877 2.772
0.000 0.000 0.000

***

Mg2B2Pt5Au (PBE, optimized geometry); total DFT energy (no corrections) = -5.48 eV per atom; symmetry = P4/mbm, No. 127
1.0
3.247 0.000 0.000
0.000 9.461 0.000
0.000 0.000 9.461
Mg Pt B Au
4 10 4 2
Cartesian
0.000 7.797 6.394
0.000 6.394 1.664
0.000 1.664 3.067
0.000 3.067 7.797
1.623 8.768 2.101
1.623 4.730 0.000
1.623 2.630 5.423
1.623 0.692 7.360
1.623 4.038 2.630
1.623 0.000 4.730
1.623 7.360 8.768
1.623 6.831 4.038
1.623 5.423 6.831
1.623 2.101 0.692
0.000 3.526 1.204
0.000 1.204 5.935
0.000 8.256 3.526
0.000 5.935 8.256
0.000 4.730 4.730
0.000 0.000 0.000

***

Sm3H12Pd5 (PBE, optimized geometry); total DFT energy (no corrections) = -4.35 eV per atom; symmetry = Ia-3d, No. 230
1.0
10.380 0.000 0.000
-3.460 9.786 0.000
-3.460 -4.893 8.475
Pd Sm H
20 12 48
Cartesian
-1.730 4.893 0.000
4.325 -3.058 7.416
-0.865 2.447 2.119
2.595 7.340 2.119
3.460 -2.447 4.238
0.865 3.058 7.416
4.325 2.447 6.356
-0.865 7.951 1.059
6.055 -0.612 5.297
0.000 0.000 0.000
-0.865 0.612 5.297
1.730 2.447 4.238
3.460 4.893 0.000
4.325 4.282 3.178
-3.460 2.447 4.238
0.865 -2.447 6.356
2.595 1.835 1.059
-2.595 5.505 3.178
-1.730 -2.447 4.238
5.190 0.000 0.000
6.055 6.728 1.059
0.865 4.893 2.119
4.325 0.612 3.178
-2.595 -1.835 7.416
-0.865 4.282 5.297
2.595 0.000 6.356
6.055 3.058 1.059
2.595 5.505 5.297
-2.595 1.835 7.416
-4.325 4.893 6.356
7.785 0.000 2.119
0.865 -0.612 3.178
1.904 -1.813 5.017
6.504 0.649 4.078
5.606 -0.761 1.636
-4.316 2.585 5.874
5.364 2.805 3.299
3.876 4.132 6.839
-0.416 0.761 1.636
-1.116 0.047 6.998
-1.904 2.089 5.176
1.314 3.483 5.715
-0.874 3.545 7.537
0.174 3.080 3.458
0.416 6.303 5.715
-0.874 -2.585 5.874
3.044 -1.410 2.761
-2.146 5.654 6.839
7.776 2.308 2.601
-3.634 6.982 3.299
1.116 1.303 7.777
2.586 3.933 3.540
7.534 4.940 1.477
0.874 0.960 4.936
6.064 -3.545 7.537
-2.604 8.439 0.938
4.334 7.479 2.601
1.116 -1.256 7.696
2.146 1.410 2.761
3.286 1.813 5.017
-4.074 -0.047 6.998
-1.904 -3.902 8.316
4.316 -0.960 4.936
2.344 3.591 0.698
4.334 1.348 0.938
4.774 5.542 4.397
5.364 8.795 0.159
-3.286 3.902 8.316
-0.614 3.637 0.779
7.094 -2.089 5.176
6.746 0.992 0.159
-0.856 5.853 3.540
-1.314 -0.649 4.078
-0.614 6.196 0.698
4.074 -1.303 7.777
4.074 1.256 7.696
-3.044 4.244 4.397
2.344 6.149 0.779
1.556 6.706 3.458
4.576 4.846 1.477

***

Ac4MgAu2 (PBE, optimized geometry); total DFT energy (no corrections) = -3.83 eV per atom; symmetry = Fddd, No. 70
1.0
-2.764 -6.916 3.955
3.483 -2.368 -7.306
6.681 3.890 5.277
Ac Mg Au
8 2 4
Cartesian
1.561 -1.603 2.634
0.934 -6.873 -0.531
1.983 -2.646 -1.695
0.514 -5.830 3.798
6.719 -1.801 1.271
2.462 -2.786 6.107
5.161 0.531 4.804
4.017 -5.117 2.575
0.719 -9.283 -3.350
5.260 -1.561 -1.854
4.589 -2.292 3.688
1.249 -4.238 1.051
2.990 -5.422 -2.600
5.971 1.164 1.712

***

CsAcScF6 (PBE, optimized geometry); total DFT energy (no corrections) = -6.10 eV per atom; formation energy from raw total energies = -3597 meV/atom; symmetry = Imma, No. 74
1.0
-3.711 4.780 -5.146
4.567 -2.998 -6.078
-4.289 -4.889 4.683
Cs F Ac Sc
2 12 2 2
Cartesian
-0.025 -1.958 -1.800
-3.408 -1.150 -4.741
-2.203 -3.927 0.335
-2.109 0.482 -1.769
-5.964 0.068 -1.768
0.219 -1.046 -4.867
-1.230 0.820 -6.877
-1.061 1.281 -4.176
-1.324 -3.589 -4.773
-2.372 -4.388 -2.365
-3.652 -2.061 -1.674
2.531 -3.175 -4.774
0.125 -5.456 -2.763
-3.558 2.348 -3.778
-4.000 -0.055 -0.232
-2.145 -2.445 2.341
0.428 0.891 -5.612
-1.856 2.390 -2.573

***

MgGePtAu (PBE, optimized geometry); total DFT energy (no corrections) = -4.29 eV per atom; symmetry = F-43m, No. 216
1.0
4.589 0.000 0.000
2.294 3.974 0.000
2.294 1.325 3.747
Ge Mg Au Pt
1 1 1 1
Cartesian
2.294 1.325 0.937
6.883 3.974 2.810
4.589 2.649 1.873
0.000 0.000 0.000

***

KNaSr (PBE, optimized geometry); total DFT energy (no corrections) = -1.32 eV per atom; symmetry = C2/m, No. 12
1.0
4.260 0.000 0.003
2.127 3.693 0.000
-0.022 0.011 20.938
K Sr Na
2 2 2
Cartesian
3.592 0.431 12.854
3.579 0.434 17.132
3.596 2.888 2.793
1.463 1.659 6.253
3.591 2.889 9.459
1.447 1.669 20.524